1.
Computed, not measured: Zr2BeIrC after structural relaxation at the GGA-PBE level of DFT.

Calculated values
Its formation enthalpy at 0 K is -2.8 eV/f.u.

abc: 4.639 4.639 3.421
angles: 90.00 90.00 90.00
Space group P4/mmm (No. 123)
Unique sites:
1 Zr 0.000 0.500 0.000
2 Be 0.000 0.000 0.500
3 Ir 0.500 0.500 0.500
4 C 0.000 0.000 0.000



2.
Computed, not measured: AsHPbAu2 after structural relaxation at the GGA-PBE level of DFT.

abc: 5.255 5.255 3.476
angles: 90.00 90.00 90.00
Space group P4/mmm (No. 123)
Unique sites:
1 As 0.000 0.000 0.000
2 H 0.000 0.000 0.500
3 Pb 0.500 0.500 0.500
4 Au 0.000 0.500 0.000



3.
Computed, not measured: Al2AuBr after structural relaxation at the GGA-PBE level of DFT.

Calculated values
The calculation puts the energy above the most stable polymorph in this dataset at 29.39 kJ per mole of atoms. As for the uncorrected formation energy: -0.051 eV/atom.

abc: 7.829 7.379 3.166
angles: 90.00 110.99 90.00
Space group C2/m (No. 12)
Unique sites:
1 Al 0.250 0.250 0.000
2 Au 0.000 0.000 0.000
3 Br 0.000 0.500 0.000



4.
Computed, not measured: La6Nd2Sm after structural relaxation at the GGA-PBE level of DFT.

Calculated values
The calculation puts the energy above the most stable polymorph in this dataset at 16.61 kJ per mole of atoms. Its formation enthalpy at 0 K is 2.6 eV/f.u.

abc: 7.5407 7.5407 20.2061
angles: 90.00 90.00 120.00
Space group R3m (No. 160, hexagonal axes)
Unique sites:
1 La 0.1774 0.3549 0.0000
2 La 0.1931 0.3862 0.1946
3 Nd 0.0000 0.0000 0.6864
4 Nd 0.0000 0.0000 0.8526
5 Sm 0.0000 0.0000 0.1127



Number 1: density of states at the Fermi level 0.53 states/eV per atom, energy -41.7 eV/cell. Number 2: density of states at the Fermi level 0.39 states/eV per atom, energy -17.7 eV/cell. Number 3: density of states at the Fermi level 0.21 states/eV per atom, energy -25.3 eV/cell. Number 4: density of states at the Fermi level 1.44 states/eV per atom, energy -123.8 eV/cell.